Record 1
Here is crystalline Tb3FeB7 at its relaxed geometry from Alexandria via LeMat-Bulk. Energies are from PBEsol.

Calculated values
The value obtained for the magnetic moment is 0.01 Bohr magnetons per cell. For the energy of formation from the pure elements, the calculation gives -0.643 eV per atom. The density of states at the Fermi level is 15.4 states/eV/cell.

a = 3.3884 Å, b = 15.6491 Å, c = 9.2646 Å
α = 90.00°, β = 90.00°, γ = 90.00°
Space group Cmcm (No. 63)
One atom of each set of equivalent atoms:
1 Tb 0.0000 0.1046 0.0606 [8 per cell]
2 Tb 0.0000 0.2430 0.7500 [4 per cell]
3 Fe 0.0000 0.0546 0.7500 [4 per cell]
4 B 0.0000 0.2726 0.0321 [8 per cell]
5 B 0.0000 0.3699 0.1534 [8 per cell]
6 B 0.0000 0.4608 0.7500 [4 per cell]
7 B 0.0000 0.4778 0.0988 [8 per cell]

---

Record 2
Here is crystalline HfMnCl3 at its relaxed geometry from Alexandria via LeMat-Bulk. Energies are from PBEsol.

Calculated values
The value obtained for the magnetic moment is 6.91 Bohr magnetons per cell. The uncorrected formation energy is 0.10 eV per atom. The density of states at the Fermi level is 6.5 states/eV/cell.

a = 4.7865 Å, b = 4.7865 Å, c = 4.7865 Å
α = 90.00°, β = 90.00°, γ = 90.00°
Space group Pm-3m (No. 221)
One atom of each set of equivalent atoms:
1 Hf 0.0000 0.0000 0.0000 [1 per cell]
2 Mn 0.5000 0.5000 0.5000 [1 per cell]
3 Cl 0.0000 0.5000 0.5000 [3 per cell]

---

Please write out number 1 again, unchanged.
Here is crystalline Tb3FeB7 at its relaxed geometry from Alexandria via LeMat-Bulk. Energies are from PBEsol.

Calculated values
The value obtained for the magnetic moment is 0.01 Bohr magnetons per cell. For the energy of formation from the pure elements, the calculation gives -0.643 eV per atom. The density of states at the Fermi level is 15.4 states/eV/cell.

a = 3.3884 Å, b = 15.6491 Å, c = 9.2646 Å
α = 90.00°, β = 90.00°, γ = 90.00°
Space group Cmcm (No. 63)
One atom of each set of equivalent atoms:
1 Tb 0.0000 0.1046 0.0606 [8 per cell]
2 Tb 0.0000 0.2430 0.7500 [4 per cell]
3 Fe 0.0000 0.0546 0.7500 [4 per cell]
4 B 0.0000 0.2726 0.0321 [8 per cell]
5 B 0.0000 0.3699 0.1534 [8 per cell]
6 B 0.0000 0.4608 0.7500 [4 per cell]
7 B 0.0000 0.4778 0.0988 [8 per cell]